A plane-wave DFT calculation with PBE was carried out for a relaxed TlHg2W crystal.

The structure belongs to space group Imm2 (No. 44); the cell edges are 2.852, 4.982 and 14.153 Å and the angles 90.00°, 90.00° and 90.00°. The inequivalent atoms are Tl at (0.000, 0.000, 0.000), Hg at (0.000, 0.000, 0.363), Hg at (0.000, 0.500, 0.184) and W at (0.000, 0.500, 0.685).

---

A plane-wave DFT calculation with PBE was carried out for a relaxed TlHgW3 crystal.

The structure belongs to space group Pm-3m (No. 221); the cell edges are 4.964, 4.964 and 4.964 Å and the angles 90.00°, 90.00° and 90.00°. The inequivalent atoms are Tl at (0.000, 0.000, 0.000), Hg at (0.500, 0.500, 0.500) and W at (0.000, 0.500, 0.500).

---

A plane-wave DFT calculation with PBE was carried out for a relaxed TlHg2W crystal.

The structure belongs to space group P4/mmm (No. 123); the cell edges are 4.320, 4.320 and 4.452 Å and the angles 90.00°, 90.00° and 90.00°. The inequivalent atoms are Tl at (0.000, 0.000, 0.000), Hg at (0.000, 0.500, 0.500) and W at (0.500, 0.500, 0.000).

---

E_tot for the records above, in order: -26.0, -26.6, -12.2 eV for the cell shown